RbOs2I: optimized geometry, GGA-PBE.

E in eV/cell: -33.2
Raw formation energy in meV per atom: 2092.6
Energy relative to the lowest polymorph listed for this composition in kJ per mole of atoms: 0.0

Cell lengths 6.4738, 6.4738, 6.4738 Å; angles 104.34, 104.34, 120.31 degrees
Last column: nearest neighbours and their distance in Å.
Positions (direct):
Rb: 0.0000 0.0000 0.0000  2 I 3.22, 8 Os 3.39-3.41
Rb: 0.7500 0.2500 0.5000  2 I 3.22, 8 Os 3.39-3.41
Os: 0.2091 0.6250 0.0841  2 I 2.52
Os: 0.3750 0.4591 0.5841  2 I 2.52
Os: 0.5409 0.1250 0.9159  2 I 2.52
Os: 0.8750 0.7909 0.4159  2 I 2.52
I: 0.2500 0.7500 0.5000  4 Os 2.52
I: 0.5000 0.5000 0.0000  4 Os 2.52